Arrangement i

An optimized crystal structure of YThSb2. Source: Alexandria, functional PBE.

The structure belongs to space group I4_1/amd (No. 141, origin choice 2); the cell edges are 6.3107, 6.3107 and 12.5647 Å and the angles 90.00°, 90.00° and 90.00°. The asymmetric unit holds Y at (0.0000, 0.2500, 0.3750), Th at (0.0000, 0.2500, 0.8750) and Sb at (0.0000, 0.2500, 0.1278).

The value obtained for the density of states at the Fermi level is 6.5 states/eV/cell.

***

Arrangement ii

An optimized crystal structure of YThSb2. Source: Alexandria, functional PBE.

The structure belongs to space group P4/mmm (No. 123); the cell edges are 5.4068, 5.4068 and 3.8621 Å and the angles 90.00°, 90.00° and 90.00°. The asymmetric unit holds Y at (0.0000, 0.0000, 0.0000), Th at (0.5000, 0.5000, 0.0000) and Sb at (0.0000, 0.5000, 0.5000).

The value obtained for the density of states at the Fermi level is 4.0 states/eV/cell.

***

Arrangement iii

An optimized crystal structure of YThSb2. Source: Alexandria, functional PBE.

The structure belongs to space group R3m (No. 160, hexagonal axes); the cell edges are 4.3981, 4.3981 and 22.7663 Å and the angles 90.00°, 90.00° and 120.00°. The asymmetric unit holds Y at (0.0000, 0.0000, 0.0000), Th at (0.0000, 0.0000, 0.1729), Sb at (0.0000, 0.0000, 0.5884) and Sb at (0.0000, 0.0000, 0.7524).

The value obtained for the density of states at the Fermi level is 9.6 states/eV/cell.

***

Q: Which of them is the least stable? A: arrangement ii.

***

Arrangement i

An optimized crystal structure of Y2ThSb. Source: Alexandria, functional PBE.

The structure belongs to space group P4/mmm (No. 123); the cell edges are 3.9283, 3.9283 and 7.4875 Å and the angles 90.00°, 90.00° and 90.00°. The asymmetric unit holds Y at (0.0000, 0.0000, 0.2196), Th at (0.5000, 0.5000, 0.5000) and Sb at (0.5000, 0.5000, 0.0000).

The value obtained for the density of states at the Fermi level is 4.5 states/eV/cell.

***

Arrangement ii

An optimized crystal structure of Y2ThSb. Source: Alexandria, functional PBE.

The structure belongs to space group P4/mmm (No. 123); the cell edges are 4.9244, 4.9244 and 4.6812 Å and the angles 90.00°, 90.00° and 90.00°. The asymmetric unit holds Y at (0.0000, 0.5000, 0.0000), Th at (0.0000, 0.0000, 0.5000) and Sb at (0.5000, 0.5000, 0.5000).

The value obtained for the density of states at the Fermi level is 3.7 states/eV/cell.

***

Q: Which of them is the least stable? A: arrangement ii.

***

Arrangement i

An optimized crystal structure of Th2ZnSb. Source: Alexandria, functional PBE.

The structure belongs to space group P4/mmm (No. 123); the cell edges are 3.9584, 3.9584 and 6.9152 Å and the angles 90.00°, 90.00° and 90.00°. The asymmetric unit holds Th at (0.0000, 0.0000, 0.2458), Zn at (0.5000, 0.5000, 0.0000) and Sb at (0.5000, 0.5000, 0.5000).

The value obtained for the density of states at the Fermi level is 3.8 states/eV/cell.

***

Arrangement ii

An optimized crystal structure of Th2ZnSb. Source: Alexandria, functional PBE.

The structure belongs to space group P2_1/m (No. 11); the cell edges are 6.1950, 4.2884 and 8.8671 Å and the angles 90.00°, 109.49° and 90.00°. The asymmetric unit holds Th at (0.2034, 0.2500, 0.4233), Th at (0.2750, 0.7500, 0.0646), Zn at (0.1209, 0.2500, 0.7910) and Sb at (0.3689, 0.7500, 0.7112).

The value obtained for the density of states at the Fermi level is 7.5 states/eV/cell.

***

Q: Which of them is the least stable? A: arrangement i.

***

Arrangement i

An optimized crystal structure of ThZr2Sb2. Source: Alexandria, functional PBE.

The structure belongs to space group P-3m1 (No. 164); the cell edges are 4.6701, 4.6701 and 7.4740 Å and the angles 90.00°, 90.00° and 120.00°. The asymmetric unit holds Th at (0.0000, 0.0000, 0.0000), Zr at (0.3333, 0.6667, 0.6313) and Sb at (0.3333, 0.6667, 0.2347).

The value obtained for the density of states at the Fermi level is 1.8 states/eV/cell.

***

Arrangement ii

An optimized crystal structure of ThZr2Sb2. Source: Alexandria, functional PBE.

The structure belongs to space group C2/c (No. 15); the cell edges are 9.6020, 11.7010 and 5.9176 Å and the angles 90.00°, 122.42° and 90.00°. The asymmetric unit holds Th at (0.0000, 0.1006, 0.2500), Zr at (0.1810, 0.4104, 0.9811), Sb at (0.0000, 0.1939, 0.7500) and Sb at (0.0000, 0.3750, 0.2500).

The value obtained for the density of states at the Fermi level is 15.5 states/eV/cell.

***

Q: Which of them is the least stable? A: arrangement ii.

***

Arrangement i

An optimized crystal structure of Th3Zr2Sb3. Source: Alexandria, functional PBE.

The structure belongs to space group P6_3/mcm (No. 193); the cell edges are 9.0604, 9.0604 and 6.1193 Å and the angles 90.00°, 90.00° and 120.00°. The asymmetric unit holds Th at (0.0000, 0.2507, 0.2500), Zr at (0.3333, 0.6667, 0.0000) and Sb at (0.0000, 0.3988, 0.7500).

The value obtained for the density of states at the Fermi level is 15.8 states/eV/cell.

***

Arrangement ii

An optimized crystal structure of Th3Zr2Sb3. Source: Alexandria, functional PBE.

The structure belongs to space group Cmcm (No. 63); the cell edges are 4.1110, 14.0795 and 15.5790 Å and the angles 90.00°, 90.00° and 90.00°. The asymmetric unit holds Th at (0.0000, 0.0570, 0.1195), Th at (0.0000, 0.3450, 0.2500), Zr at (0.0000, 0.2398, 0.5801), Sb at (0.0000, 0.3384, 0.7500) and Sb at (0.0000, 0.3975, 0.0457).

The value obtained for the density of states at the Fermi level is 30.3 states/eV/cell.

***

Q: Which of them is the least stable? A: arrangement ii.

***

Arrangement i

An optimized crystal structure of ThZr2Sb. Source: Alexandria, functional PBE.

The structure belongs to space group Fm-3m (No. 225); the cell edges are 7.2627, 7.2627 and 7.2627 Å and the angles 90.00°, 90.00° and 90.00°. The asymmetric unit holds Th at (0.0000, 0.0000, 0.0000), Zr at (0.2500, 0.2500, 0.2500) and Sb at (0.0000, 0.0000, 0.5000).

The value obtained for the density of states at the Fermi level is 17.4 states/eV/cell.

***

Arrangement ii

An optimized crystal structure of ThZr2Sb. Source: Alexandria, functional PBE.

The structure belongs to space group P4/mmm (No. 123); the cell edges are 4.8562, 4.8562 and 4.1016 Å and the angles 90.00°, 90.00° and 90.00°. The asymmetric unit holds Th at (0.0000, 0.0000, 0.0000), Zr at (0.0000, 0.5000, 0.5000) and Sb at (0.5000, 0.5000, 0.0000).

The value obtained for the density of states at the Fermi level is 4.5 states/eV/cell.

***

Q: Which of them is the least stable? A: arrangement i.

***

Arrangement i

An optimized crystal structure of TiTl2Sb. Source: Alexandria, functional PBE.

The structure belongs to space group Fm-3m (No. 225); the cell edges are 7.4836, 7.4836 and 7.4836 Å and the angles 90.00°, 90.00° and 90.00°. The asymmetric unit holds Ti at (0.0000, 0.0000, 0.0000), Tl at (0.2500, 0.2500, 0.2500) and Sb at (0.0000, 0.0000, 0.5000).

The value obtained for the density of states at the Fermi level is 19.6 states/eV/cell.

***

Arrangement ii

An optimized crystal structure of TiTl2Sb. Source: Alexandria, functional PBE.

The structure belongs to space group I-42d (No. 122); the cell edges are 8.4569, 8.4569 and 5.9380 Å and the angles 90.00°, 90.00° and 90.00°. The asymmetric unit holds Ti at (0.0000, 0.0000, 0.0000), Tl at (0.2279, 0.2500, 0.1250) and Sb at (0.0000, 0.0000, 0.5000).

The value obtained for the density of states at the Fermi level is 12.6 states/eV/cell.

***

Q: Which of them is the least stable? A: arrangement i.

***

Arrangement i

An optimized crystal structure of TiSbW3. Source: Alexandria, functional PBE.

The structure belongs to space group Pm-3m (No. 221); the cell edges are 4.6636, 4.6636 and 4.6636 Å and the angles 90.00°, 90.00° and 90.00°. The asymmetric unit holds Ti at (0.0000, 0.0000, 0.0000), Sb at (0.5000, 0.5000, 0.5000) and W at (0.0000, 0.0000, 0.5000).

The value obtained for the density of states at the Fermi level is 7.4 states/eV/cell.

***

Arrangement ii

An optimized crystal structure of TiSbW3. Source: Alexandria, functional PBE.

The structure belongs to space group Pm-3m (No. 221); the cell edges are 4.8473, 4.8473 and 4.8473 Å and the angles 90.00°, 90.00° and 90.00°. The asymmetric unit holds Ti at (0.0000, 0.0000, 0.0000), Sb at (0.5000, 0.5000, 0.5000) and W at (0.0000, 0.5000, 0.5000).

The value obtained for the density of states at the Fermi level is 6.2 states/eV/cell.

***

Q: Which of them is the least stable? A: arrangement ii.

***

Arrangement i

An optimized crystal structure of Ti3SbW. Source: Alexandria, functional PBE.

The structure belongs to space group Pm-3m (No. 221); the cell edges are 4.8465, 4.8465 and 4.8465 Å and the angles 90.00°, 90.00° and 90.00°. The asymmetric unit holds Ti at (0.0000, 0.0000, 0.5000), Sb at (0.0000, 0.0000, 0.0000) and W at (0.5000, 0.5000, 0.5000).

The value obtained for the density of states at the Fermi level is 5.6 states/eV/cell.

***

Arrangement ii

An optimized crystal structure of Ti3SbW. Source: Alexandria, functional PBE.

The structure belongs to space group Pm-3m (No. 221); the cell edges are 4.7929, 4.7929 and 4.7929 Å and the angles 90.00°, 90.00° and 90.00°. The asymmetric unit holds Ti at (0.0000, 0.0000, 0.5000), Sb at (0.5000, 0.5000, 0.5000) and W at (0.0000, 0.0000, 0.0000).

The value obtained for the density of states at the Fermi level is 5.6 states/eV/cell.

***

Q: Which of them is the least stable? A: arrangement i.

***

Arrangement i

An optimized crystal structure of TiSb2W. Source: Alexandria, functional PBE.

The structure belongs to space group Fm-3m (No. 225); the cell edges are 6.7212, 6.7212 and 6.7212 Å and the angles 90.00°, 90.00° and 90.00°. The asymmetric unit holds Ti at (0.0000, 0.0000, 0.0000), Sb at (0.2500, 0.2500, 0.2500) and W at (0.0000, 0.0000, 0.5000).

The value obtained for the density of states at the Fermi level is 9.3 states/eV/cell.

***

Arrangement ii

An optimized crystal structure of TiSb2W. Source: Alexandria, functional PBE.

The structure belongs to space group I-42d (No. 122); the cell edges are 6.4993, 6.4993 and 11.6770 Å and the angles 90.00°, 90.00° and 90.00°. The asymmetric unit holds Ti at (0.0000, 0.0000, 0.0000), Sb at (0.2377, 0.2500, 0.6250) and W at (0.0000, 0.0000, 0.5000).

The value obtained for the density of states at the Fermi level is 27.4 states/eV/cell.

***

Q: Which of them is the least stable? A: arrangement ii.

***

Arrangement i

An optimized crystal structure of YTiSb3. Source: Alexandria, functional PBE.

The structure belongs to space group Pm-3m (No. 221); the cell edges are 5.2625, 5.2625 and 5.2625 Å and the angles 90.00°, 90.00° and 90.00°. The asymmetric unit holds Y at (0.0000, 0.0000, 0.0000), Ti at (0.5000, 0.5000, 0.5000) and Sb at (0.0000, 0.5000, 0.5000).

The value obtained for the density of states at the Fermi level is 7.2 states/eV/cell.

***

Arrangement ii

An optimized crystal structure of YTiSb3. Source: Alexandria, functional PBE.

The structure belongs to space group Pbcm (No. 57); the cell edges are 12.9523, 6.2987 and 6.1485 Å and the angles 90.00°, 90.00° and 90.00°. The asymmetric unit holds Y at (0.1838, 0.0096, 0.2500), Ti at (0.4064, 0.7500, 0.0000), Sb at (0.0029, 0.7500, 0.0000), Sb at (0.2678, 0.5021, 0.2500) and Sb at (0.4263, 0.1123, 0.2500).

The value obtained for the density of states at the Fermi level is 10.9 states/eV/cell.

***

Q: Which of them is the least stable? A: arrangement i.

***

Arrangement i

An optimized crystal structure of YTi3Sb. Source: Alexandria, functional PBE.

The structure belongs to space group Pm-3m (No. 221); the cell edges are 4.8913, 4.8913 and 4.8913 Å and the angles 90.00°, 90.00° and 90.00°. The asymmetric unit holds Y at (0.0000, 0.0000, 0.0000), Ti at (0.0000, 0.0000, 0.5000) and Sb at (0.5000, 0.5000, 0.5000).

The value obtained for the density of states at the Fermi level is 6.0 states/eV/cell.

***

Arrangement ii

An optimized crystal structure of YTi3Sb. Source: Alexandria, functional PBE.

The structure belongs to space group Pm-3m (No. 221); the cell edges are 5.0650, 5.0650 and 5.0650 Å and the angles 90.00°, 90.00° and 90.00°. The asymmetric unit holds Y at (0.0000, 0.0000, 0.0000), Ti at (0.0000, 0.5000, 0.5000) and Sb at (0.5000, 0.5000, 0.5000).

The value obtained for the density of states at the Fermi level is 4.9 states/eV/cell.

***

Q: Which of them is the least stable? A: arrangement i.